Pm4Pr7Pu after structural relaxation. Source: Alexandria, functional PBE.

**V**: 419.6 Å³/f.u.
**ΔE_f**: 0.055 eV per atom
**Uncorrected energy**: -5.5114 eV per atom

a b c (Å): 6.360 7.345 9.698
angles (deg): 100.86 109.04 90.05
Sites, in units of the cell vectors:
Pm 0.000 0.170 0.171
Pm 0.000 0.830 0.829
Pm 0.495 0.583 0.830
Pm 0.505 0.417 0.170
Pr 0.000 0.000 0.500
Pr 0.003 0.336 0.831
Pr 0.497 0.916 0.165
Pr 0.500 0.255 0.500
Pr 0.500 0.745 0.500
Pr 0.503 0.084 0.835
Pr 0.997 0.664 0.169
Pu 0.000 0.500 0.500